No. 1
CeNi4Sn4 | PBE | relaxed

abc: 5.138 8.426 8.426
angles: 90.00 90.00 90.00
Positions (direct):
Ni1 0.094 0.856 0.702
Ni2 0.906 0.702 0.144
Ni3 0.094 0.144 0.298
Ni4 0.406 0.644 0.798
Ni5 0.594 0.202 0.644
Ni6 0.906 0.298 0.856
Ni7 0.594 0.798 0.356
Ni8 0.406 0.356 0.202
Sn1 0.092 0.157 0.610
Sn2 0.092 0.843 0.390
Sn3 0.908 0.390 0.157
Sn4 0.592 0.890 0.657
Sn5 0.408 0.657 0.110
Sn6 0.908 0.610 0.843
Sn7 0.408 0.343 0.890
Sn8 0.592 0.110 0.343
Ce1 0.000 0.000 0.000
Ce2 0.500 0.500 0.500

The formation energy is -0.2082 eV/atom.

---

No. 2
Ce3Ni2Sn4 | PBE | relaxed

abc: 4.492 6.118 8.663
angles: 101.39 90.00 111.54
Positions (direct):
Sn1 0.293 0.585 0.907
Sn2 0.912 0.823 0.613
Sn3 0.707 0.415 0.093
Sn4 0.088 0.177 0.387
Ni1 0.295 0.590 0.597
Ni2 0.705 0.410 0.403
Ce1 0.374 0.748 0.311
Ce2 0.626 0.252 0.689
Ce3 0.000 0.000 0.000

The distance to the lowest polymorph of the same formula is 0 meV/atom. The formation energy is -0.5624 eV/atom.

---

No. 3
Ce3NiSn2 | PBE | relaxed

abc: 4.425 11.724 12.545
angles: 90.00 90.00 90.00
Positions (direct):
Ce1 0.750 0.551 0.620
Ce2 0.250 0.709 0.235
Ce3 0.750 0.881 0.449
Ce4 0.250 0.791 0.735
Ce5 0.750 0.949 0.120
Ce6 0.250 0.119 0.551
Ce7 0.250 0.381 0.051
Ce8 0.750 0.209 0.265
Ce9 0.250 0.449 0.380
Ce10 0.750 0.619 0.949
Ce11 0.750 0.291 0.765
Ce12 0.250 0.051 0.880
Sn1 0.750 0.995 0.698
Sn2 0.250 0.694 0.491
Sn3 0.750 0.306 0.509
Sn4 0.750 0.505 0.198
Sn5 0.250 0.005 0.302
Sn6 0.250 0.806 0.991
Sn7 0.250 0.495 0.802
Sn8 0.750 0.194 0.009
Ni1 0.250 0.366 0.622
Ni2 0.250 0.134 0.122
Ni3 0.750 0.866 0.878
Ni4 0.750 0.634 0.378

The formation energy is -0.5249 eV/atom.

---

No. 4
CeTcNiSn | PBE | relaxed

abc: 4.709 4.709 4.709
angles: 60.00 60.00 60.00
Positions (direct):
Ni1 0.500 0.500 0.500
Sn1 0.250 0.250 0.250
Tc1 0.000 0.000 0.000
Ce1 0.750 0.750 0.750

The formation energy is -0.1737 eV/atom.

---

No. 5
Ce2ZnNi4Sn3 | PBE | relaxed

abc: 4.376 4.376 10.062
angles: 90.00 90.00 90.00
Positions (direct):
Sn1 0.000 0.500 0.129
Sn2 0.000 0.000 0.500
Sn3 0.500 0.000 0.871
Ni1 0.500 0.000 0.624
Ni2 0.000 0.000 0.000
Ni3 0.500 0.500 0.000
Ni4 0.000 0.500 0.376
Zn1 0.500 0.500 0.500
Ce1 0.000 0.500 0.755
Ce2 0.500 0.000 0.245

The formation energy is -0.4509 eV/atom.

---

No. 6
Sr2Ce2Ni15 | PBE | relaxed

abc: 6.553 6.553 6.553
angles: 82.85 82.85 82.85
Positions (direct):
Ni1 0.341 0.341 0.842
Ni2 0.696 0.000 0.304
Ni3 0.304 0.000 0.696
Ni4 0.000 0.000 0.500
Ni5 0.158 0.659 0.659
Ni6 0.000 0.304 0.696
Ni7 0.659 0.659 0.158
Ni8 0.500 0.000 0.000
Ni9 0.341 0.842 0.341
Ni10 0.842 0.341 0.341
Ni11 0.659 0.158 0.659
Ni12 0.000 0.500 0.000
Ni13 0.696 0.304 0.000
Ni14 0.304 0.696 0.000
Ni15 0.000 0.696 0.304
Ce1 0.112 0.112 0.112
Ce2 0.888 0.888 0.888
Sr1 0.639 0.639 0.639
Sr2 0.361 0.361 0.361

The formation energy is -0.1111 eV/atom.

---

No. 7
SrCeNi10 | PBE | relaxed

abc: 3.978 4.975 8.585
angles: 90.00 90.00 90.00
Positions (direct):
Ce1 0.000 0.500 0.500
Ni1 0.000 0.500 0.181
Ni2 0.500 0.000 0.500
Ni3 0.500 0.253 0.743
Ni4 0.000 0.500 0.819
Ni5 0.000 0.000 0.342
Ni6 0.500 0.500 0.000
Ni7 0.500 0.253 0.257
Ni8 0.500 0.747 0.743
Ni9 0.000 0.000 0.658
Ni10 0.500 0.747 0.257
Sr1 0.000 0.000 0.000

The formation energy is -0.1879 eV/atom.

---

No. 8
Sr2CeNi9 | PBE | relaxed

abc: 5.041 5.041 8.868
angles: 73.49 73.49 60.00
Positions (direct):
Ni1 0.424 0.424 0.234
Ni2 0.668 0.668 0.997
Ni3 0.332 0.332 0.003
Ni4 0.500 0.500 0.500
Ni5 0.424 0.919 0.234
Ni6 0.576 0.576 0.766
Ni7 0.919 0.424 0.234
Ni8 0.081 0.576 0.766
Ni9 0.576 0.081 0.766
Ce1 0.000 0.000 0.000
Sr1 0.859 0.859 0.422
Sr2 0.141 0.141 0.578

The formation energy is -0.1392 eV/atom.